No. 1
First-principles (PBE) data for a geometry-optimized Rb4Tl5Sb structure, as listed in the Alexandria database.

Properties
Crystal system: triclinic
Formation energy from raw total energies, meV per atom: -111
Symmetry: P-1, No. 2

Cell lengths 7.510, 7.982, 8.860 Å; angles 116.40, 90.39, 90.44 degrees
Element x y z (fractional)
Rb: 0.243 0.050 0.213
Rb: 0.250 0.334 0.794
Rb: 0.750 0.666 0.206
Rb: 0.757 0.950 0.787
Tl: 0.247 0.607 0.280
Tl: 0.252 0.818 0.731
Tl: 0.500 0.500 0.500
Tl: 0.748 0.182 0.269
Tl: 0.753 0.393 0.720
Sb: 0.000 0.500 0.500

No. 2
First-principles (PBE) data for a geometry-optimized KYF2 structure, as listed in the Alexandria database.

Properties
Crystal system: tetragonal
Formation energy from raw total energies, meV per atom: -2354
Symmetry: I-42d, No. 122
Excess energy over the best structure of this formula in the dataset, kJ/mol of formula units: 112

Cell lengths 7.763, 7.763, 7.763 Å; angles 135.94, 135.94, 64.08 degrees
Element x y z (fractional)
K: 0.000 0.000 0.000
K: 0.750 0.250 0.500
Y: 0.250 0.750 0.500
Y: 0.500 0.500 0.000
F: 0.320 0.625 0.195
F: 0.375 0.570 0.695
F: 0.430 0.125 0.805
F: 0.875 0.680 0.305

No. 3
First-principles (PBE) data for a geometry-optimized NaBiO2 structure, as listed in the Alexandria database.

Properties
Crystal system: tetragonal
Formation energy from raw total energies, meV per atom: -934
Symmetry: P4/mmm, No. 123

Cell lengths 3.066, 3.066, 6.164 Å; angles 90.00, 90.00, 90.00 degrees
Element x y z (fractional)
Na: 0.000 0.000 0.000
Bi: 0.000 0.000 0.500
O: 0.500 0.500 0.276
O: 0.500 0.500 0.724

No. 4
First-principles (PBE) data for a geometry-optimized La2PdSe structure, as listed in the Alexandria database.

Properties
Crystal system: trigonal
Formation energy from raw total energies, meV per atom: -1253
Symmetry: R3m, No. 160

Cell lengths 8.045, 8.045, 8.045 Å; angles 30.16, 30.16, 30.16 degrees
Element x y z (fractional)
La: 0.000 0.000 0.000
La: 0.181 0.181 0.181
Pd: 0.590 0.590 0.590
Se: 0.758 0.758 0.758

No. 5
First-principles (PBE) data for a geometry-optimized CeDy2Er3Se6 structure, as listed in the Alexandria database.

Properties
Crystal system: monoclinic
Formation energy from raw total energies, meV per atom: -1738
Symmetry: C2/m, No. 12

Cell lengths 9.128, 9.128, 8.213 Å; angles 103.32, 103.32, 25.65 degrees
Element x y z (fractional)
Ce: 0.000 0.000 0.000
Dy: 0.336 0.336 0.671
Dy: 0.664 0.664 0.329
Er: 0.000 0.000 0.500
Er: 0.336 0.336 0.166
Er: 0.664 0.664 0.834
Se: 0.167 0.167 0.585
Se: 0.172 0.172 0.083
Se: 0.499 0.499 0.260
Se: 0.501 0.501 0.740
Se: 0.828 0.828 0.917
Se: 0.833 0.833 0.415

No. 6
First-principles (PBE) data for a geometry-optimized ScGe3Pt structure, as listed in the Alexandria database.

Properties
Crystal system: cubic
DFT total energy, eV/f.u.: -25.0
Symmetry: Pm-3m, No. 221

Cell lengths 4.901, 4.901, 4.901 Å; angles 90.00, 90.00, 90.00 degrees
Element x y z (fractional)
Sc: 0.000 0.000 0.000
Ge: 0.000 0.500 0.500
Ge: 0.500 0.000 0.500
Ge: 0.500 0.500 0.000
Pt: 0.500 0.500 0.500

No. 7
First-principles (PBE) data for a geometry-optimized Li4Mg5In structure, as listed in the Alexandria database.

Properties
Crystal system: tetragonal
Symmetry: I4, No. 79
Excess energy over the best structure of this formula in the dataset, kJ/mol of formula units: 51

Cell lengths 7.029, 7.029, 7.029 Å; angles 99.26, 99.26, 132.71 degrees
Element x y z (fractional)
Li: 0.044 0.335 0.378
Li: 0.335 0.956 0.291
Li: 0.665 0.044 0.709
Li: 0.956 0.665 0.622
Mg: 0.238 0.238 0.000
Mg: 0.271 0.664 0.916
Mg: 0.355 0.271 0.607
Mg: 0.664 0.748 0.393
Mg: 0.748 0.355 0.084
In: 0.762 0.762 0.000

No. 8
First-principles (PBE) data for a geometry-optimized SrSn4Pd2 structure, as listed in the Alexandria database.

Properties
Crystal system: orthorhombic
Symmetry: Pnma, No. 62
Excess energy over the best structure of this formula in the dataset, kJ/mol of formula units: 0

Cell lengths 19.067, 4.682, 7.422 Å; angles 90.00, 90.00, 90.00 degrees
Element x y z (fractional)
Sr: 0.143 0.250 0.013
Sr: 0.357 0.750 0.513
Sr: 0.643 0.250 0.487
Sr: 0.857 0.750 0.987
Sn: 0.032 0.750 0.860
Sn: 0.067 0.250 0.485
Sn: 0.181 0.750 0.318
Sn: 0.194 0.750 0.729
Sn: 0.306 0.250 0.229
Sn: 0.319 0.250 0.818
Sn: 0.433 0.750 0.985
Sn: 0.468 0.250 0.360
Sn: 0.532 0.750 0.640
Sn: 0.567 0.250 0.015
Sn: 0.681 0.750 0.182
Sn: 0.694 0.750 0.771
Sn: 0.806 0.250 0.271
Sn: 0.819 0.250 0.682
Sn: 0.933 0.750 0.515
Sn: 0.968 0.250 0.140
Pd: 0.035 0.750 0.243
Pd: 0.214 0.250 0.531
Pd: 0.286 0.750 0.031
Pd: 0.465 0.250 0.743
Pd: 0.535 0.750 0.257
Pd: 0.714 0.250 0.969
Pd: 0.786 0.750 0.469
Pd: 0.965 0.250 0.757